A plane-wave DFT calculation with PBE was carried out for K2CrH4 after structural relaxation.

Results
**Total magnetic moment**: 4.0 μB/cell
**DFT total energy**: -3.696 eV/atom

The structure in POSCAR format:
```
K2CrH4
1.0
3.980 0.000 0.000
0.000 3.980 0.000
1.990 1.990 6.509
K H Cr
2 4 1
direct
0.356 0.356 0.287 K
0.644 0.644 0.713 K
0.000 0.500 0.000 H
0.140 0.140 0.719 H
0.860 0.860 0.281 H
0.500 0.000 0.000 H
0.000 0.000 0.000 Cr
```